Record 1
The following is a PBE calculation of a relaxed structure of Ca2GeSeO, from Alexandria via LeMat-Bulk.

## Properties
Total DFT energy (no corrections): -4.7478 eV/atom
SG: P4/mmm (123)
Formation energy (no corrections): -6.7 eV per formula unit

Geometry as POSCAR:
```
Ca2GeSeO
1.0
4.956 0.000 0.000
0.000 4.956 0.000
0.000 0.000 4.225
Ca Ge Se O
2 1 1 1
Direct
0.000 0.500 0.000 Ca
0.500 0.000 0.000 Ca
0.000 0.000 0.500 Ge
0.500 0.500 0.500 Se
0.000 0.000 0.000 O
```


Record 2
The following is a PBE calculation of a relaxed structure of YSb2Pd5, from Alexandria via LeMat-Bulk.

## Properties
Total DFT energy (no corrections): -5.6439 eV/atom
SG: Immm (71)
Formation energy (no corrections): -4.5 eV per formula unit

Geometry as POSCAR:
```
YSb2Pd5
1.0
-1.990 3.630 5.458
1.990 -3.630 5.458
1.990 3.630 -5.458
Y Sb Pd
1 2 5
Direct
0.000 0.000 0.000 Y
0.257 0.757 0.500 Sb
0.743 0.243 0.500 Sb
0.169 0.372 0.797 Pd
0.425 0.628 0.797 Pd
0.500 0.000 0.500 Pd
0.575 0.372 0.203 Pd
0.831 0.628 0.203 Pd
```


Record 3
The following is a PBE calculation of a relaxed structure of Na2MgBi2, from Alexandria via LeMat-Bulk.

## Properties
Total DFT energy (no corrections): -2.4756 eV/atom
SG: P4/mbm (127)
ΔE_f: -77 meV per atom
Offset from the most stable computed form: 0.90 eV per formula unit

Geometry as POSCAR:
```
Na2MgBi2
1.0
9.209 0.000 0.000
0.000 9.209 0.000
0.000 0.000 3.413
Na Mg Bi
4 2 4
Direct
0.115 0.385 0.000 Na
0.385 0.885 0.000 Na
0.615 0.115 0.000 Na
0.885 0.615 0.000 Na
0.000 0.000 0.000 Mg
0.500 0.500 0.000 Mg
0.186 0.686 0.500 Bi
0.314 0.186 0.500 Bi
0.686 0.814 0.500 Bi
0.814 0.314 0.500 Bi
```


Record 4
The following is a PBE calculation of a relaxed structure of LaTbGdDy, from Alexandria via LeMat-Bulk.

## Properties
Total DFT energy (no corrections): -6.9495 eV/atom
SG: F-43m (216)
ΔE_f: 111 meV per atom

Geometry as POSCAR:
```
LaTbGdDy
1.0
0.000 4.068 4.068
4.068 0.000 4.068
4.068 4.068 0.000
La Tb Gd Dy
1 1 1 1
Direct
0.000 0.000 0.000 La
0.250 0.250 0.250 Tb
0.500 0.500 0.500 Gd
0.750 0.750 0.750 Dy
```


Record 5
The following is a PBE calculation of a relaxed structure of K2Li3Cd12Ag, from Alexandria via LeMat-Bulk.

## Properties
Total DFT energy (no corrections): -1.2225 eV/atom
SG: R-3m (166)
ΔE_f: -13 meV per atom

Geometry as POSCAR:
```
K2Li3Cd12Ag
1.0
3.716 2.145 10.336
-3.716 2.145 10.336
0.000 -4.291 10.336
K Li Cd Ag
2 3 12 1
Direct
0.151 0.151 0.151 K
0.849 0.849 0.849 K
0.000 0.500 0.500 Li
0.500 0.000 0.500 Li
0.500 0.500 0.000 Li
0.087 0.087 0.687 Cd
0.087 0.687 0.087 Cd
0.149 0.567 0.567 Cd
0.313 0.913 0.913 Cd
0.433 0.433 0.851 Cd
0.433 0.851 0.433 Cd
0.567 0.149 0.567 Cd
0.567 0.567 0.149 Cd
0.687 0.087 0.087 Cd
0.851 0.433 0.433 Cd
0.913 0.313 0.913 Cd
0.913 0.913 0.313 Cd
0.500 0.500 0.500 Ag
```


Record 6
The following is a PBE calculation of a relaxed structure of Cr5Cu, from Alexandria via LeMat-Bulk.

## Properties
Total DFT energy (no corrections): -8.5101 eV/atom
SG: Cmmm (65)
ΔE_f: 192 meV per atom
Offset from the most stable computed form: 0.00 eV per formula unit

Geometry as POSCAR:
```
Cr5Cu
1.0
2.024 -6.033 0.000
2.024 6.033 0.000
0.000 0.000 2.920
Cr Cu
5 1
Direct
0.000 0.000 0.000 Cr
0.163 0.837 0.500 Cr
0.329 0.671 0.000 Cr
0.671 0.329 0.000 Cr
0.837 0.163 0.500 Cr
0.500 0.500 0.500 Cu
```


Record 7
The following is a PBE calculation of a relaxed structure of Ca4Ac3Mg4, from Alexandria via LeMat-Bulk.

## Properties
Total DFT energy (no corrections): -2.4142 eV/atom
SG: Immm (71)
ΔE_f: 14 meV per atom

Geometry as POSCAR:
```
Ca4Ac3Mg4
1.0
-1.916 5.243 10.201
1.916 -5.243 10.201
1.916 5.243 -10.201
Ca Ac Mg
4 3 4
Direct
0.026 0.838 0.188 Ca
0.350 0.162 0.188 Ca
0.650 0.838 0.812 Ca
0.974 0.162 0.812 Ca
0.000 0.500 0.500 Ac
0.404 0.404 0.000 Ac
0.596 0.596 0.000 Ac
0.262 0.762 0.500 Mg
0.283 0.000 0.283 Mg
0.717 0.000 0.717 Mg
0.738 0.238 0.500 Mg
```


Record 8
The following is a PBE calculation of a relaxed structure of TlIrAu, from Alexandria via LeMat-Bulk.

## Properties
Total DFT energy (no corrections): -4.3819 eV/atom
SG: F-43m (216)
ΔE_f: 453 meV per atom
Offset from the most stable computed form: 0.00 eV per formula unit

Geometry as POSCAR:
```
TlIrAu
1.0
0.000 3.193 3.193
3.193 0.000 3.193
3.193 3.193 0.000
Tl Ir Au
1 1 1
Direct
0.000 0.000 0.000 Tl
0.750 0.750 0.750 Ir
0.500 0.500 0.500 Au
```


Record 9
The following is a PBE calculation of a relaxed structure of Zr2TeCl, from Alexandria via LeMat-Bulk.

## Properties
Total DFT energy (no corrections): -5.8648 eV/atom
SG: I-42d (122)
Formation energy (no corrections): -1.4 eV per formula unit
Offset from the most stable computed form: 2.07 eV per formula unit

Geometry as POSCAR:
```
Zr2TeCl
1.0
-2.425 2.425 8.780
2.425 -2.425 8.780
2.425 2.425 -8.780
Zr Te Cl
4 2 2
Direct
0.088 0.625 0.963 Zr
0.375 0.338 0.463 Zr
0.662 0.125 0.037 Zr
0.875 0.912 0.537 Zr
0.250 0.750 0.500 Te
0.500 0.500 0.000 Te
0.000 0.000 0.000 Cl
0.750 0.250 0.500 Cl
```


Record 10
The following is a PBE calculation of a relaxed structure of Ce3As2PRh8, from Alexandria via LeMat-Bulk.

## Properties
Total DFT energy (no corrections): -7.2600 eV/atom
SG: P-3m1 (164)
ΔE_f: -737 meV per atom

Geometry as POSCAR:
```
Ce3As2PRh8
1.0
5.469 0.000 0.000
-2.734 4.736 0.000
0.000 0.000 9.381
Ce As P Rh
3 2 1 8
Direct
0.000 0.000 0.000 Ce
0.333 0.667 0.562 Ce
0.667 0.333 0.438 Ce
0.333 0.667 0.092 As
0.667 0.333 0.908 As
0.000 0.000 0.500 P
0.165 0.329 0.290 Rh
0.165 0.835 0.290 Rh
0.329 0.165 0.710 Rh
0.333 0.667 0.828 Rh
0.667 0.333 0.172 Rh
0.671 0.835 0.290 Rh
0.835 0.165 0.710 Rh
0.835 0.671 0.710 Rh
```


Record 11
The following is a PBE calculation of a relaxed structure of CaTa2Hg, from Alexandria via LeMat-Bulk.

## Properties
Total DFT energy (no corrections): -5.9673 eV/atom
SG: I4/mmm (139)
ΔE_f: 535 meV per atom

Geometry as POSCAR:
```
CaTa2Hg
1.0
-2.056 2.056 5.015
2.056 -2.056 5.015
2.056 2.056 -5.015
Ca Ta Hg
1 2 1
Direct
0.000 0.000 0.000 Ca
0.250 0.750 0.500 Ta
0.750 0.250 0.500 Ta
0.500 0.500 0.000 Hg
```


Record 12
The following is a PBE calculation of a relaxed structure of Sc3Tc2, from Alexandria via LeMat-Bulk.

## Properties
Total DFT energy (no corrections): -7.9221 eV/atom
SG: P-3m1 (164)
ΔE_f: 23 meV per atom
Offset from the most stable computed form: 0.07 eV per formula unit

Geometry as POSCAR:
```
Sc3Tc2
1.0
4.716 0.000 0.000
-2.358 4.084 0.000
0.000 0.000 5.297
Sc Tc
3 2
Direct
0.000 0.000 0.000 Sc
0.333 0.667 0.369 Sc
0.667 0.333 0.631 Sc
0.333 0.667 0.901 Tc
0.667 0.333 0.099 Tc
```


Record 13
The following is a PBE calculation of a relaxed structure of Tm3AgPd, from Alexandria via LeMat-Bulk.

## Properties
Total DFT energy (no corrections): -4.6119 eV/atom
SG: Pm (6)
ΔE_f: -320 meV per atom
Offset from the most stable computed form: 0.79 eV per formula unit

Geometry as POSCAR:
```
Tm3AgPd
1.0
8.785 0.000 0.000
0.000 3.772 0.000
-3.476 0.000 8.072
Tm Ag Pd
6 2 2
Direct
0.000 0.000 0.000 Tm
0.033 0.500 0.590 Tm
0.356 0.500 0.267 Tm
0.389 0.000 0.857 Tm
0.622 0.000 0.622 Tm
0.766 0.000 0.234 Tm
0.194 0.000 0.427 Ag
0.694 0.500 0.928 Ag
0.194 0.500 0.928 Pd
0.694 0.500 0.429 Pd
```


Record 14
The following is a PBE calculation of a relaxed structure of Cd5In5Pb, from Alexandria via LeMat-Bulk.

## Properties
Total DFT energy (no corrections): -1.9267 eV/atom
SG: P-6m2 (187)
ΔE_f: 71 meV per atom

Geometry as POSCAR:
```
Cd5In5Pb
1.0
5.610 0.000 0.000
-2.805 4.859 0.000
0.000 0.000 10.879
Cd In Pb
5 5 1
Direct
0.000 0.000 0.237 Cd
0.000 0.000 0.763 Cd
0.338 0.169 0.000 Cd
0.831 0.169 0.000 Cd
0.831 0.662 0.000 Cd
0.000 0.000 0.500 In
0.333 0.667 0.182 In
0.333 0.667 0.818 In
0.667 0.333 0.336 In
0.667 0.333 0.664 In
0.333 0.667 0.500 Pb
```


Record 15
The following is a PBE calculation of a relaxed structure of Tm5Zn2Sn, from Alexandria via LeMat-Bulk.

## Properties
Total DFT energy (no corrections): -4.0151 eV/atom
SG: I4/mcm (140)
ΔE_f: -402 meV per atom

Geometry as POSCAR:
```
Tm5Zn2Sn
1.0
-3.975 3.975 6.380
3.975 -3.975 6.380
3.975 3.975 -6.380
Tm Zn Sn
10 4 2
Direct
0.000 0.000 0.000 Tm
0.009 0.509 0.810 Tm
0.199 0.009 0.500 Tm
0.301 0.801 0.810 Tm
0.491 0.301 0.500 Tm
0.500 0.500 0.000 Tm
0.509 0.699 0.500 Tm
0.699 0.199 0.190 Tm
0.801 0.991 0.500 Tm
0.991 0.491 0.190 Tm
0.135 0.365 0.500 Zn
0.365 0.865 0.230 Zn
0.635 0.135 0.770 Zn
0.865 0.635 0.500 Zn
0.250 0.250 0.000 Sn
0.750 0.750 0.000 Sn
```


Record 16
The following is a PBE calculation of a relaxed structure of Sm2BeSi4Ni3, from Alexandria via LeMat-Bulk.

## Properties
Total DFT energy (no corrections): -5.9705 eV/atom
SG: P-4m2 (115)
Formation energy (no corrections): -7.5 eV per formula unit

Geometry as POSCAR:
```
Sm2BeSi4Ni3
1.0
3.994 0.000 0.000
0.000 3.994 0.000
0.000 0.000 9.581
Sm Be Si Ni
2 1 4 3
Direct
0.000 0.500 0.249 Sm
0.500 0.000 0.751 Sm
0.500 0.500 0.000 Be
0.000 0.000 0.500 Si
0.000 0.500 0.870 Si
0.500 0.000 0.130 Si
0.500 0.500 0.500 Si
0.000 0.000 0.000 Ni
0.000 0.500 0.623 Ni
0.500 0.000 0.377 Ni
```


Record 17
The following is a PBE calculation of a relaxed structure of Ce6C2Br3O, from Alexandria via LeMat-Bulk.

## Properties
Total DFT energy (no corrections): -6.5614 eV/atom
SG: C2/m (12)
Formation energy (no corrections): -14.7 eV per formula unit

Geometry as POSCAR:
```
Ce6C2Br3O
1.0
3.188 -5.522 0.000
3.188 5.522 0.000
-2.126 0.000 7.441
Ce C Br O
6 2 3 1
Direct
0.105 0.439 0.816 Ce
0.228 0.228 0.185 Ce
0.439 0.105 0.816 Ce
0.561 0.895 0.184 Ce
0.772 0.772 0.815 Ce
0.895 0.561 0.184 Ce
0.166 0.834 0.000 C
0.834 0.166 0.000 C
0.000 0.000 0.500 Br
0.331 0.669 0.500 Br
0.669 0.331 0.500 Br
0.500 0.500 0.000 O
```


Record 18
The following is a PBE calculation of a relaxed structure of Sc3Zn2Pd3, from Alexandria via LeMat-Bulk.

## Properties
Total DFT energy (no corrections): -5.3298 eV/atom
SG: P6_3/mcm (193)
ΔE_f: -690 meV per atom

Geometry as POSCAR:
```
Sc3Zn2Pd3
1.0
7.881 0.000 0.000
-3.941 6.825 0.000
0.000 0.000 5.301
Sc Zn Pd
6 4 6
Direct
0.000 0.256 0.250 Sc
0.000 0.744 0.750 Sc
0.256 0.000 0.250 Sc
0.256 0.256 0.750 Sc
0.744 0.000 0.750 Sc
0.744 0.744 0.250 Sc
0.333 0.667 0.000 Zn
0.333 0.667 0.500 Zn
0.667 0.333 0.000 Zn
0.667 0.333 0.500 Zn
0.000 0.397 0.750 Pd
0.000 0.603 0.250 Pd
0.397 0.000 0.750 Pd
0.397 0.397 0.250 Pd
0.603 0.000 0.250 Pd
0.603 0.603 0.750 Pd
```


Record 19
The following is a PBE calculation of a relaxed structure of NaCdBrF2, from Alexandria via LeMat-Bulk.

## Properties
Total DFT energy (no corrections): -3.3710 eV/atom
SG: P4/mmm (123)
Formation energy (no corrections): -9.2 eV per formula unit
Offset from the most stable computed form: 0.33 eV per formula unit

Geometry as POSCAR:
```
NaCdBrF2
1.0
4.395 0.000 0.000
0.000 4.395 0.000
0.000 0.000 5.688
Na Cd Br F
1 1 1 2
Direct
0.000 0.000 0.000 Na
0.500 0.500 0.500 Cd
0.500 0.500 0.000 Br
0.000 0.500 0.500 F
0.500 0.000 0.500 F
```


Record 20
The following is a PBE calculation of a relaxed structure of PrThSc2, from Alexandria via LeMat-Bulk.

## Properties
Total DFT energy (no corrections): -6.1928 eV/atom
SG: P4/mmm (123)
ΔE_f: 23 meV per atom
Offset from the most stable computed form: 0.00 eV per formula unit

Geometry as POSCAR:
```
PrThSc2
1.0
3.529 0.000 0.000
0.000 3.529 0.000
0.000 0.000 9.349
Pr Th Sc
1 1 2
Direct
0.000 0.000 0.000 Pr
0.000 0.000 0.500 Th
0.500 0.500 0.259 Sc
0.500 0.500 0.741 Sc
```


Record 21
The following is a PBE calculation of a relaxed structure of ZnInCl3, from Alexandria via LeMat-Bulk.

## Properties
Total DFT energy (no corrections): -2.4643 eV/atom
SG: Cmcm (63)
Formation energy (no corrections): -2.8 eV per formula unit
Offset from the most stable computed form: 2.36 eV per formula unit

Geometry as POSCAR:
```
ZnInCl3
1.0
4.984 -6.006 0.000
4.984 6.006 0.000
0.000 0.000 6.505
Zn In Cl
2 2 6
Direct
0.034 0.966 0.750 Zn
0.966 0.034 0.250 Zn
0.337 0.663 0.750 In
0.663 0.337 0.250 In
0.013 0.635 0.750 Cl
0.365 0.987 0.750 Cl
0.500 0.500 0.000 Cl
0.500 0.500 0.500 Cl
0.635 0.013 0.250 Cl
0.987 0.365 0.250 Cl
```


Record 22
The following is a PBE calculation of a relaxed structure of SrZn4Ag, from Alexandria via LeMat-Bulk.

## Properties
Total DFT energy (no corrections): -1.7126 eV/atom
SG: F-43m (216)
ΔE_f: -108 meV per atom
Offset from the most stable computed form: 0.00 eV per formula unit

Geometry as POSCAR:
```
SrZn4Ag
1.0
0.000 3.861 3.861
3.861 0.000 3.861
3.861 3.861 0.000
Sr Zn Ag
1 4 1
Direct
0.000 0.000 0.000 Sr
0.129 0.624 0.624 Zn
0.624 0.129 0.624 Zn
0.624 0.624 0.129 Zn
0.624 0.624 0.624 Zn
0.250 0.250 0.250 Ag
```


Record 23
The following is a PBE calculation of a relaxed structure of K2InRu, from Alexandria via LeMat-Bulk.

## Properties
Total DFT energy (no corrections): -2.8186 eV/atom
SG: I4/mmm (139)
ΔE_f: 734 meV per atom

Geometry as POSCAR:
```
K2InRu
1.0
-2.112 2.112 5.717
2.112 -2.112 5.717
2.112 2.112 -5.717
K In Ru
2 1 1
Direct
0.250 0.750 0.500 K
0.750 0.250 0.500 K
0.000 0.000 0.000 In
0.500 0.500 0.000 Ru
```


Record 24
The following is a PBE calculation of a relaxed structure of ZnAgPb2, from Alexandria via LeMat-Bulk.

## Properties
Total DFT energy (no corrections): -2.7989 eV/atom
SG: Pm (6)
ΔE_f: 87 meV per atom

Geometry as POSCAR:
```
ZnAgPb2
1.0
4.095 0.000 0.000
0.000 4.391 0.000
-1.963 0.000 5.445
Zn Ag Pb
1 1 2
Direct
0.000 0.000 0.000 Zn
0.135 0.500 0.297 Ag
0.427 0.500 0.856 Pb
0.714 0.000 0.454 Pb
```